(1)
Below is a relaxed CrHg5O6 crystal, with properties calculated at the GGA+U level.

Computed properties:
As for the final energy: -3.825 eV per atom.

Geometry as POSCAR:
```
CrHg5O6
1.0
-7.053 -4.267 -0.754
4.482 -6.959 0.067
-0.768 -1.240 6.729
Cr Hg O
2 10 12
Direct
0.320 0.680 0.750
0.680 0.320 0.250
0.351 0.203 0.693
0.797 0.649 0.807
0.649 0.797 0.307
0.203 0.351 0.193
0.932 0.385 0.710
0.385 0.932 0.210
0.068 0.615 0.290
0.615 0.068 0.790
0.000 0.000 0.000
0.000 0.000 0.500
0.280 0.479 0.799
0.521 0.720 0.701
0.720 0.521 0.201
0.479 0.280 0.299
0.247 0.772 0.945
0.228 0.753 0.555
0.753 0.228 0.055
0.772 0.247 0.445
0.813 0.910 0.853
0.090 0.187 0.647
0.187 0.090 0.147
0.910 0.813 0.353
```



(2)
Below is a relaxed Cr2HgO7 crystal, with properties calculated at the GGA+U level.

Computed properties:
As for the final energy: -5.925 eV per atom.

Geometry as POSCAR:
```
Cr2HgO7
1.0
-5.799 -1.388 -4.810
1.213 -4.636 5.977
-5.836 5.498 5.449
Cr Hg O
6 3 21
Direct
0.422 0.084 0.989
0.976 0.230 0.334
0.254 0.024 0.667
0.662 0.578 0.323
0.770 0.746 0.001
0.916 0.338 0.656
0.617 0.687 0.662
0.070 0.383 0.995
0.313 0.930 0.329
0.888 0.624 0.977
0.090 0.404 0.784
0.016 0.949 0.668
0.376 0.264 0.644
0.036 0.355 0.496
0.382 0.269 0.010
0.731 0.113 0.677
0.319 0.964 0.829
0.313 0.910 0.118
0.597 0.694 0.873
0.934 0.984 0.001
0.645 0.681 0.162
0.051 0.066 0.334
0.508 0.338 0.322
0.306 0.904 0.540
0.096 0.403 0.206
0.887 0.618 0.343
0.596 0.687 0.451
0.829 0.492 0.655
0.662 0.171 0.988
0.736 0.112 0.310
```



(3)
Below is a relaxed Cr2HgO crystal, with properties calculated at the GGA+U level.

Computed properties:
As for the energy above the most stable polymorph in this dataset: 0.6842 eV per atom.

Geometry as POSCAR:
```
Cr2HgO
1.0
-4.022 -0.119 2.187
-2.012 3.901 1.308
-3.800 1.438 -2.114
Cr Hg O
2 1 1
Direct
0.250 0.250 0.250
0.750 0.750 0.750
0.500 0.500 0.500
0.000 0.000 0.000
```



(4)
Below is a relaxed Cr2Hg2O7 crystal, with properties calculated at the GGA+U level.

Computed properties:
As for the final energy: -5.467 eV per atom.

Geometry as POSCAR:
```
Cr2Hg2O7
1.0
-3.069 -1.070 5.541
2.034 -5.964 -1.246
7.942 -1.506 7.057
Cr Hg O
4 4 14
Direct
0.759 0.881 0.224
0.881 0.759 0.724
0.119 0.241 0.276
0.241 0.119 0.776
0.273 0.659 0.490
0.341 0.727 0.010
0.659 0.273 0.990
0.727 0.341 0.510
0.211 0.042 0.352
0.599 0.957 0.114
0.589 0.693 0.373
0.859 0.141 0.250
0.042 0.211 0.852
0.957 0.599 0.614
0.693 0.589 0.873
0.307 0.411 0.127
0.043 0.401 0.386
0.958 0.789 0.148
0.141 0.859 0.750
0.411 0.307 0.627
0.401 0.043 0.886
0.789 0.958 0.648
```